Entry 1:
The following is a DFT calculation (PBE) of a geometry-optimized NiP2Br structure.

It has space group P2/m (No. 10), with a = 3.624 Å, b = 3.966 Å, c = 5.383 Å, α = 90.00°, β = 104.03° and γ = 90.00°. The asymmetric unit holds Ni at (0.000, 0.000, 0.000), P at (0.305, 0.500, 0.133) and Br at (0.000, 0.000, 0.500).

The value obtained for the formation energy without anion corrections is 0.08 eV per atom. The density of states at the Fermi level comes out at 2.997 states/eV/cell. The crystal system is monoclinic. The density comes out at 4.44 g cm⁻³.


Entry 2:
The following is a DFT calculation (PBE) of a geometry-optimized NiPBr2 structure.

It has space group Pmmm (No. 47), with a = 3.401 Å, b = 3.858 Å, c = 7.033 Å, α = 90.00°, β = 90.00° and γ = 90.00°. The asymmetric unit holds Ni at (0.000, 0.000, 0.000), P at (0.500, 0.000, 0.500), Br at (0.000, 0.500, 0.500) and Br at (0.500, 0.500, 0.000).

The value obtained for the formation energy without anion corrections is 0.64 eV per atom. The density of states at the Fermi level comes out at 6.297 states/eV/cell. The crystal system is orthorhombic. The density comes out at 4.49 g cm⁻³.


> The lowest formation energy without anion corrections belongs to which entry?

NiP2Br


> Among the records above, which one has the highest formation energy without anion corrections?

NiPBr2